Computed, not measured: a geometry-optimized PmPaOs structure at the GGA-PBE level of DFT.

Geometry as POSCAR:
```
PmPaOs
1.0
4.4600 0.0000 0.0000
-2.2300 3.8625 0.0000
0.0000 0.0000 4.6307
Pm Pa Os
1 1 1
direct
0.0000 0.0000 0.0000 Pm
0.6667 0.3333 0.4774 Pa
0.3333 0.6667 0.5636 Os
```

Output
* ΔH_f (0 K): 6.2 kJ/mol of atoms
* SG: P3m1 (156)
* calculated volume: 79.8 Å³/f.u.
* relative energy among the computed polymorphs: 255 meV per atom


Computed, not measured: a geometry-optimized ScTiInRe structure at the GGA-PBE level of DFT.

Geometry as POSCAR:
```
ScTiInRe
1.0
6.5957 0.0000 0.0000
0.0000 6.5957 0.0000
0.0000 0.0000 6.5957
Sc Ti In Re
4 4 4 4
direct
0.0000 0.0000 0.0000 Sc
0.0000 0.5000 0.5000 Sc
0.5000 0.0000 0.5000 Sc
0.5000 0.5000 0.0000 Sc
0.0000 0.0000 0.5000 Ti
0.0000 0.5000 0.0000 Ti
0.5000 0.0000 0.0000 Ti
0.5000 0.5000 0.5000 Ti
0.2500 0.2500 0.7500 In
0.2500 0.7500 0.2500 In
0.7500 0.2500 0.2500 In
0.7500 0.7500 0.7500 In
0.2500 0.2500 0.2500 Re
0.2500 0.7500 0.7500 Re
0.7500 0.2500 0.7500 Re
0.7500 0.7500 0.2500 Re
```

Output
* ΔH_f (0 K): -17.9 kJ/mol of atoms
* SG: F-43m (216)
* calculated volume: 71.7 Å³/f.u.


Computed, not measured: a geometry-optimized Cs3LaO3 structure at the GGA-PBE level of DFT.

Geometry as POSCAR:
```
Cs3LaO3
1.0
4.0581 -6.6446 0.0000
4.0581 6.6446 0.0000
-1.2192 0.0000 7.8082
Cs La O
6 2 6
direct
0.2192 0.7808 0.0000 Cs
0.2580 0.7420 0.5000 Cs
0.3514 0.3514 0.1464 Cs
0.6486 0.6486 0.8536 Cs
0.7420 0.2580 0.5000 Cs
0.7808 0.2192 0.0000 Cs
0.1826 0.1826 0.6567 La
0.8174 0.8174 0.3433 La
0.1073 0.1073 0.3587 O
0.1803 0.4564 0.7665 O
0.4564 0.1803 0.7665 O
0.5436 0.8197 0.2335 O
0.8197 0.5436 0.2335 O
0.8927 0.8927 0.6413 O
```

Output
* SG: C2/m (12)
* raw formation energy: -179.5 kJ/mol of atoms
* calculated volume: 210.5 Å³/f.u.
* relative energy among the computed polymorphs: 17 meV per atom


Computed, not measured: a geometry-optimized B2RhS6 structure at the GGA-PBE level of DFT.

Geometry as POSCAR:
```
B2RhS6
1.0
5.6518 -4.6226 0.0000
5.6518 4.6226 0.0000
-1.2412 0.0000 5.7947
B Rh S
4 2 12
direct
0.1520 0.3044 0.3462 B
0.3044 0.1520 0.8462 B
0.6956 0.8480 0.1538 B
0.8480 0.6956 0.6538 B
0.3883 0.6117 0.7500 Rh
0.6117 0.3883 0.2500 Rh
0.0851 0.5945 0.8242 S
0.0928 0.2402 0.6312 S
0.2402 0.0928 0.1312 S
0.3007 0.4928 0.3618 S
0.4055 0.9149 0.6758 S
0.4928 0.3007 0.8618 S
0.5072 0.6993 0.1382 S
0.5945 0.0851 0.3242 S
0.6993 0.5072 0.6382 S
0.7598 0.9072 0.8688 S
0.9072 0.7598 0.3688 S
0.9149 0.4055 0.1758 S
```

Output
* SG: C2/c (15)
* raw formation energy: -16.3 kJ/mol of atoms
* calculated volume: 151.4 Å³/f.u.


Computed, not measured: a geometry-optimized KIr2Pt structure at the GGA-PBE level of DFT.

Geometry as POSCAR:
```
KIr2Pt
1.0
2.7188 0.0000 0.0000
0.0000 4.6772 0.0000
-1.1388 0.0000 6.2456
K Ir Pt
1 2 1
direct
0.0000 0.0000 0.0000 K
0.3166 0.5000 0.6757 Ir
0.6834 0.5000 0.3243 Ir
0.5000 0.0000 0.5000 Pt
```

Output
* ΔH_f (0 K): 62.3 kJ/mol of atoms
* SG: P2/m (10)
* calculated volume: 79.4 Å³/f.u.
* relative energy among the computed polymorphs: 329 meV per atom


Computed, not measured: a geometry-optimized ZrZn2Tc structure at the GGA-PBE level of DFT.

Geometry as POSCAR:
```
ZrZn2Tc
1.0
3.5253 0.0000 0.0000
0.0000 4.4098 0.0000
0.0000 0.0000 8.3700
Zr Zn Tc
2 4 2
direct
0.0000 0.0000 0.0000 Zr
0.5000 0.5000 0.5000 Zr
0.0000 0.0000 0.4877 Zn
0.0000 0.5000 0.7649 Zn
0.5000 0.0000 0.2649 Zn
0.5000 0.5000 0.9877 Zn
0.0000 0.5000 0.2388 Tc
0.5000 0.0000 0.7388 Tc
```

Output
* ΔH_f (0 K): -9.7 kJ/mol of atoms
* SG: Imm2 (44)
* calculated volume: 65.1 Å³/f.u.
* relative energy among the computed polymorphs: 120 meV per atom


Computed, not measured: a geometry-optimized SrCa2PF structure at the GGA-PBE level of DFT.

Geometry as POSCAR:
```
SrCa2PF
1.0
4.7181 0.0000 0.0000
0.0000 4.7181 0.0000
0.0000 0.0000 5.5297
Sr Ca P F
1 2 1 1
direct
0.0000 0.0000 0.0000 Sr
0.0000 0.5000 0.5000 Ca
0.5000 0.0000 0.5000 Ca
0.5000 0.5000 0.0000 P
0.0000 0.0000 0.5000 F
```

Output
* SG: P4/mmm (123)
* raw formation energy: -111.2 kJ/mol of atoms
* calculated volume: 123.1 Å³/f.u.


Computed, not measured: a geometry-optimized Tb8Ag2Sn structure at the GGA-PBE level of DFT.

Geometry as POSCAR:
```
Tb8Ag2Sn
1.0
4.3586 -7.1010 0.0000
4.3586 7.1010 0.0000
-1.7645 0.0000 5.1745
Tb Ag Sn
8 2 1
direct
0.0880 0.3186 0.5990 Tb
0.2313 0.7687 0.0000 Tb
0.3186 0.0880 0.5990 Tb
0.3971 0.3971 0.1959 Tb
0.6029 0.6029 0.8041 Tb
0.6814 0.9120 0.4010 Tb
0.7687 0.2313 0.0000 Tb
0.9120 0.6814 0.4010 Tb
0.3062 0.6938 0.5000 Ag
0.6938 0.3062 0.5000 Ag
0.0000 0.0000 0.0000 Sn
```

Output
* ΔH_f (0 K): -12.1 kJ/mol of atoms
* SG: C2/m (12)
* calculated volume: 320.3 Å³/f.u.


Computed, not measured: a geometry-optimized Ba2ZrCBr structure at the GGA-PBE level of DFT.

Geometry as POSCAR:
```
Ba2ZrCBr
1.0
6.3316 0.0000 0.0000
0.0000 6.3316 0.0000
0.0000 0.0000 4.1875
Ba Zr C Br
2 1 1 1
direct
0.0000 0.5000 0.0000 Ba
0.5000 0.0000 0.0000 Ba
0.0000 0.0000 0.5000 Zr
0.5000 0.5000 0.5000 C
0.5000 0.5000 0.0000 Br
```

Output
* SG: P4/mmm (123)
* raw formation energy: 110.7 kJ/mol of atoms
* calculated volume: 167.9 Å³/f.u.


Computed, not measured: a geometry-optimized RhPbN2 structure at the GGA-PBE level of DFT.

Geometry as POSCAR:
```
RhPbN2
1.0
5.4258 0.0000 0.0000
0.0000 5.4258 0.0000
0.0000 0.0000 8.9217
Rh Pb N
4 4 8
direct
0.0000 0.0000 0.0000 Rh
0.0000 0.5000 0.2500 Rh
0.5000 0.0000 0.7500 Rh
0.5000 0.5000 0.5000 Rh
0.0000 0.0000 0.5000 Pb
0.0000 0.5000 0.7500 Pb
0.5000 0.0000 0.2500 Pb
0.5000 0.5000 0.0000 Pb
0.1631 0.2500 0.1250 N
0.2500 0.6631 0.3750 N
0.2500 0.8369 0.8750 N
0.3369 0.2500 0.6250 N
0.6631 0.7500 0.6250 N
0.7500 0.1631 0.8750 N
0.7500 0.3369 0.3750 N
0.8369 0.7500 0.1250 N
```

Output
* SG: I-42d (122)
* raw formation energy: 68.2 kJ/mol of atoms
* calculated volume: 65.7 Å³/f.u.


Computed, not measured: a geometry-optimized Ag5Te2I structure at the GGA-PBE level of DFT.

Geometry as POSCAR:
```
Ag5Te2I
1.0
4.8238 0.0000 0.0000
0.0000 13.5626 0.0000
-4.8018 0.0000 13.5428
Ag Te I
20 8 4
direct
0.0129 0.0038 0.2629 Ag
0.0129 0.4962 0.7629 Ag
0.0604 0.2006 0.8115 Ag
0.0604 0.2994 0.3115 Ag
0.3507 0.7230 0.0992 Ag
0.3507 0.7770 0.5992 Ag
0.3728 0.0000 0.6220 Ag
0.3728 0.5000 0.1220 Ag
0.4246 0.2118 0.6749 Ag
0.4246 0.2882 0.1749 Ag
0.5754 0.7118 0.8251 Ag
0.5754 0.7882 0.3251 Ag
0.6272 0.0000 0.3780 Ag
0.6272 0.5000 0.8780 Ag
0.6493 0.2230 0.4008 Ag
0.6493 0.2770 0.9008 Ag
0.9396 0.7006 0.6885 Ag
0.9396 0.7994 0.1885 Ag
0.9871 0.5038 0.2371 Ag
0.9871 0.9962 0.7371 Ag
0.1902 0.1169 0.4414 Te
0.1902 0.3831 0.9414 Te
0.4213 0.5724 0.6709 Te
0.4213 0.9276 0.1709 Te
0.5787 0.0724 0.8291 Te
0.5787 0.4276 0.3291 Te
0.8098 0.6169 0.0586 Te
0.8098 0.8831 0.5586 Te
0.1346 0.6810 0.3846 I
0.1346 0.8190 0.8846 I
0.8654 0.1810 0.1154 I
0.8654 0.3190 0.6154 I
```

Output
* SG: P2_1/c (14)
* raw formation energy: -9.6 kJ/mol of atoms
* calculated volume: 221.5 Å³/f.u.


Computed, not measured: a geometry-optimized Ba4YBi3O12 structure at the GGA-PBE level of DFT.

Geometry as POSCAR:
```
Ba4YBi3O12
1.0
-4.3992 4.3992 4.3992
4.3992 -4.3992 4.3992
4.3992 4.3992 -4.3992
Ba Y Bi O
4 1 3 12
direct
0.0000 0.0000 0.5000 Ba
0.0000 0.5000 0.0000 Ba
0.5000 0.0000 0.0000 Ba
0.5000 0.5000 0.5000 Ba
0.0000 0.0000 0.0000 Y
0.0000 0.5000 0.5000 Bi
0.5000 0.0000 0.5000 Bi
0.5000 0.5000 0.0000 Bi
0.0000 0.2537 0.2537 O
0.0000 0.7463 0.7463 O
0.2500 0.5000 0.7500 O
0.2500 0.7500 0.5000 O
0.2537 0.0000 0.2537 O
0.2537 0.2537 0.0000 O
0.5000 0.2500 0.7500 O
0.5000 0.7500 0.2500 O
0.7463 0.0000 0.7463 O
0.7463 0.7463 0.0000 O
0.7500 0.2500 0.5000 O
0.7500 0.5000 0.2500 O
```

Output
* SG: Im-3m (229)
* raw formation energy: -199.6 kJ/mol of atoms
* calculated volume: 340.6 Å³/f.u.


Computed, not measured: a geometry-optimized NaNb3S structure at the GGA-PBE level of DFT.

Geometry as POSCAR:
```
NaNb3S
1.0
4.6775 0.0000 0.0000
0.0000 4.6775 0.0000
0.0000 0.0000 4.6775
Na Nb S
1 3 1
direct
0.0000 0.0000 0.0000 Na
0.0000 0.5000 0.5000 Nb
0.5000 0.0000 0.5000 Nb
0.5000 0.5000 0.0000 Nb
0.5000 0.5000 0.5000 S
```

Output
* SG: Pm-3m (221)
* raw formation energy: 39.3 kJ/mol of atoms
* calculated volume: 102.3 Å³/f.u.


Computed, not measured: a geometry-optimized TlAgRu structure at the GGA-PBE level of DFT.

Geometry as POSCAR:
```
TlAgRu
1.0
6.3606 0.0000 0.0000
0.0000 6.3606 0.0000
0.0000 0.0000 6.3606
Tl Ag Ru
4 4 4
direct
0.0000 0.0000 0.0000 Tl
0.0000 0.5000 0.5000 Tl
0.5000 0.0000 0.5000 Tl
0.5000 0.5000 0.0000 Tl
0.0000 0.0000 0.5000 Ag
0.0000 0.5000 0.0000 Ag
0.5000 0.0000 0.0000 Ag
0.5000 0.5000 0.5000 Ag
0.2500 0.2500 0.2500 Ru
0.2500 0.7500 0.7500 Ru
0.7500 0.2500 0.7500 Ru
0.7500 0.7500 0.2500 Ru
```

Output
* ΔH_f (0 K): 72.5 kJ/mol of atoms
* SG: F-43m (216)
* calculated volume: 64.3 Å³/f.u.
* relative energy among the computed polymorphs: 139 meV per atom


Computed, not measured: a geometry-optimized Hf7ZrIn3 structure at the GGA-PBE level of DFT.

Geometry as POSCAR:
```
Hf7ZrIn3
1.0
5.5623 -5.0827 0.0000
5.5623 5.0827 0.0000
-2.3625 0.0000 4.5569
Hf Zr In
7 1 3
direct
0.0000 0.0000 0.0000 Hf
0.0890 0.4888 0.2888 Hf
0.3004 0.3004 0.7994 Hf
0.4888 0.0890 0.2888 Hf
0.5112 0.9110 0.7112 Hf
0.6996 0.6996 0.2006 Hf
0.9110 0.5112 0.7112 Hf
0.0000 0.0000 0.5000 Zr
0.2828 0.7172 0.0000 In
0.5000 0.5000 0.5000 In
0.7172 0.2828 0.0000 In
```

Output
* ΔH_f (0 K): 23.7 kJ/mol of atoms
* SG: C2/m (12)
* calculated volume: 257.7 Å³/f.u.


Computed, not measured: a geometry-optimized CsMgAg2 structure at the GGA-PBE level of DFT.

Geometry as POSCAR:
```
CsMgAg2
1.0
5.6814 0.0000 0.0000
0.0000 5.6814 0.0000
0.0000 0.0000 19.0288
Cs Mg Ag
4 4 8
direct
0.0000 0.2500 0.3750 Cs
0.0000 0.7500 0.6250 Cs
0.5000 0.2500 0.1250 Cs
0.5000 0.7500 0.8750 Cs
0.0000 0.2500 0.8750 Mg
0.0000 0.7500 0.1250 Mg
0.5000 0.2500 0.6250 Mg
0.5000 0.7500 0.3750 Mg
0.0000 0.0000 0.0000 Ag
0.0000 0.5000 0.0000 Ag
0.2500 0.2500 0.7500 Ag
0.2500 0.7500 0.2500 Ag
0.5000 0.0000 0.5000 Ag
0.5000 0.5000 0.5000 Ag
0.7500 0.2500 0.7500 Ag
0.7500 0.7500 0.2500 Ag
```

Output
* ΔH_f (0 K): 14.0 kJ/mol of atoms
* SG: I4_1/amd (141)
* calculated volume: 153.6 Å³/f.u.


Computed, not measured: a geometry-optimized Ho8Tl2Te structure at the GGA-PBE level of DFT.

Geometry as POSCAR:
```
Ho8Tl2Te
1.0
9.0172 -2.6299 0.0000
9.0172 2.6299 0.0000
-0.3919 0.0000 6.7464
Ho Tl Te
8 2 1
direct
0.0329 0.0329 0.2499 Ho
0.2114 0.2114 0.1091 Ho
0.3319 0.3319 0.5872 Ho
0.4081 0.4081 0.0736 Ho
0.5919 0.5919 0.9264 Ho
0.6681 0.6681 0.4128 Ho
0.7886 0.7886 0.8909 Ho
0.9671 0.9671 0.7501 Ho
0.1606 0.1606 0.6656 Tl
0.8394 0.8394 0.3344 Tl
0.5000 0.5000 0.5000 Te
```

Output
* SG: C2/m (12)
* raw formation energy: -32.7 kJ/mol of atoms
* calculated volume: 320.0 Å³/f.u.


Computed, not measured: a geometry-optimized Mn3TeBr structure at the GGA-PBE level of DFT.

Geometry as POSCAR:
```
Mn3TeBr
1.0
5.0916 0.0000 0.0000
0.0000 5.0916 0.0000
0.0000 0.0000 5.0916
Mn Te Br
3 1 1
direct
0.0000 0.0000 0.5000 Mn
0.0000 0.5000 0.0000 Mn
0.5000 0.0000 0.0000 Mn
0.0000 0.0000 0.0000 Te
0.5000 0.5000 0.5000 Br
```

Output
* SG: Pm-3m (221)
* raw formation energy: 76.1 kJ/mol of atoms
* calculated volume: 132.0 Å³/f.u.
* relative energy among the computed polymorphs: 0 meV per atom


Computed, not measured: a geometry-optimized Mg3ZnAg4 structure at the GGA-PBE level of DFT.

Geometry as POSCAR:
```
Mg3ZnAg4
1.0
13.8845 0.0000 0.0000
0.0000 4.6637 0.0000
-1.5593 0.0000 4.3949
Mg Zn Ag
6 2 8
direct
0.0000 0.0000 0.0000 Mg
0.2469 0.5000 0.7472 Mg
0.2531 0.0000 0.2528 Mg
0.5000 0.5000 0.0000 Mg
0.7469 0.0000 0.7472 Mg
0.7531 0.5000 0.2528 Mg
0.0000 0.5000 0.5000 Zn
0.5000 0.0000 0.5000 Zn
0.1214 0.0000 0.6212 Ag
0.1214 0.5000 0.1220 Ag
0.3786 0.0000 0.8780 Ag
0.3786 0.5000 0.3788 Ag
0.6214 0.0000 0.1220 Ag
0.6214 0.5000 0.6212 Ag
0.8786 0.0000 0.3788 Ag
0.8786 0.5000 0.8780 Ag
```

Output
* ΔH_f (0 K): -18.9 kJ/mol of atoms
* SG: C2/m (12)
* calculated volume: 142.3 Å³/f.u.


Computed, not measured: a geometry-optimized DyAg3 structure at the GGA-PBE level of DFT.

Geometry as POSCAR:
```
DyAg3
1.0
4.4019 0.0000 0.0000
0.0000 4.4019 0.0000
0.0000 0.0000 4.4019
Dy Ag
1 3
direct
0.0000 0.0000 0.0000 Dy
0.0000 0.5000 0.5000 Ag
0.5000 0.0000 0.5000 Ag
0.5000 0.5000 0.0000 Ag
```

Output
* ΔH_f (0 K): -7.6 kJ/mol of atoms
* SG: Pm-3m (221)
* calculated volume: 85.3 Å³/f.u.